Entry 1:
Compound: Ta3BiAu
Source: Alexandria
Functional: PBE
Structure: relaxed

Output
**Energy above the lowest structure with this stoichiometry**: 0.0000 eV per atom
**Total magnetic moment**: 0.0 Bohr magnetons per cell
**E**: -7.027 eV per atom
**E_form**: 1.52 eV/atom

Cell: 5.002 5.002 5.002 Å, 90.00 90.00 90.00°
Fractional positions:
1 Ta 0.000 0.000 0.500
2 Au 0.000 0.000 0.000
3 Ta 0.000 0.500 0.000
4 Ta 0.500 0.000 0.000
5 Bi 0.500 0.500 0.500

Entry 2:
Compound: TaBiAu2
Source: Alexandria
Functional: PBE
Structure: relaxed

Output
**Total magnetic moment**: 0.0 Bohr magnetons per cell
**E**: -5.249 eV per atom
**E_form**: 0.32 eV/atom

Cell: 7.799 7.799 6.225 Å, 51.22 51.22 90.00°
Fractional positions:
1 Au 0.875 0.854 0.750
2 Au 0.375 0.396 0.750
3 Au 0.604 0.125 0.250
4 Ta 0.500 0.500 0.000
5 Ta 0.250 0.750 0.500
6 Au 0.146 0.625 0.250
7 Bi 0.000 0.000 0.000
8 Bi 0.750 0.250 0.500

Entry 3:
Compound: TaBiAu
Source: Alexandria
Functional: PBE
Structure: relaxed

Output
**Total magnetic moment**: 0.0 Bohr magnetons per cell
**E**: -6.009 eV per atom
**E_form**: 0.33 eV/atom

Cell: 3.138 3.136 16.116 Å, 90.00 90.00 120.02°
Fractional positions:
1 Bi 0.327 0.655 0.203
2 Ta 0.661 0.321 0.360
3 Ta 0.661 0.321 0.640
4 Au 0.363 0.727 0.000
5 Au 0.327 0.654 0.500
6 Bi 0.327 0.655 0.797

Which value of total magnetic moment does entry 1 give? 0.0 Bohr magnetons per cell